DFT (PBE) results for an optimized crystal structure of KEr2AgSe4.

The structure belongs to space group Cmcm (No. 63); the cell edges are 4.166, 13.976 and 14.741 Å and the angles 90.00°, 90.00° and 90.00°. The distinct sites, in fractional coordinates, are K at (0.000, 0.123, 0.250), Er at (0.000, 0.369, 0.068), Ag at (0.000, 0.162, 0.750), Se at (0.000, 0.000, 0.000), Se at (0.000, 0.265, 0.602) and Se at (0.000, 0.450, 0.250).

Its uncorrected energy is -4.832 eV/atom. Its crystal system is orthorhombic.